# CsCuOs PBE-GGA optimized geometry
# Energy above the most stable polymorph in this dataset: 0.000 eV/atom
# Final energy: -3.161 eV per atom
data_CsCuOs
_chemical_formula_sum 'Cs1 Cu1 Os1'
_space_group_name_H-M_alt 'P 1'
_space_group_IT_number 1
_cell_length_a 4.649
_cell_length_b 4.649
_cell_length_c 4.649
_cell_angle_alpha 60.00
_cell_angle_beta 60.00
_cell_angle_gamma 60.00
loop_
_space_group_symop_operation_xyz
'x,y,z'
loop_
_atom_site_label
_atom_site_type_symbol
_atom_site_fract_x
_atom_site_fract_y
_atom_site_fract_z
Cs1 Cs 0.250 0.250 0.250
Os1 Os 0.000 0.000 0.000
Cu1 Cu 0.750 0.750 0.750

# Cs2GaIrSe4 PBE-GGA optimized geometry
# Final energy: -4.117 eV per atom
data_Cs2GaIrSe4
_chemical_formula_sum 'Cs2 Ga1 Ir1 Se4'
_space_group_name_H-M_alt 'P 1'
_space_group_IT_number 1
_cell_length_a 7.222
_cell_length_b 7.222
_cell_length_c 7.161
_cell_angle_alpha 103.95
_cell_angle_beta 103.95
_cell_angle_gamma 116.98
loop_
_space_group_symop_operation_xyz
'x,y,z'
loop_
_atom_site_label
_atom_site_type_symbol
_atom_site_fract_x
_atom_site_fract_y
_atom_site_fract_z
Se1 Se 0.732 0.928 0.169
Se2 Se 0.072 0.268 0.831
Se3 Se 0.266 0.068 0.342
Se4 Se 0.932 0.734 0.658
Cs1 Cs 0.356 0.644 0.500
Cs2 Cs 0.642 0.358 0.000
Ir1 Ir 0.996 0.004 0.500
Ga1 Ga 0.005 0.995 0.000

# LuTlHgS3 PBE-GGA optimized geometry
# Energy above the most stable polymorph in this dataset: 0.001 eV/atom
# Final energy: -4.240 eV per atom
data_LuTlHgS3
_chemical_formula_sum 'Lu4 Tl4 Hg4 S12'
_space_group_name_H-M_alt 'P 1'
_space_group_IT_number 1
_cell_length_a 10.590
_cell_length_b 4.032
_cell_length_c 15.231
_cell_angle_alpha 90.00
_cell_angle_beta 90.00
_cell_angle_gamma 90.00
loop_
_space_group_symop_operation_xyz
'x,y,z'
loop_
_atom_site_label
_atom_site_type_symbol
_atom_site_fract_x
_atom_site_fract_y
_atom_site_fract_z
S1 S 0.739 0.250 0.706
S2 S 0.486 0.250 0.132
S3 S 0.038 0.250 0.130
S4 S 0.261 0.750 0.294
S5 S 0.538 0.250 0.370
S6 S 0.462 0.750 0.630
S7 S 0.239 0.250 0.794
S8 S 0.962 0.750 0.870
S9 S 0.986 0.250 0.368
S10 S 0.514 0.750 0.868
S11 S 0.014 0.750 0.632
S12 S 0.761 0.750 0.206
Tl1 Tl 0.261 0.250 0.443
Tl2 Tl 0.739 0.750 0.557
Tl3 Tl 0.761 0.250 0.057
Tl4 Tl 0.239 0.750 0.943
Hg1 Hg 0.762 0.250 0.349
Hg2 Hg 0.238 0.750 0.651
Hg3 Hg 0.262 0.250 0.151
Hg4 Hg 0.738 0.750 0.849
Lu1 Lu 0.011 0.750 0.249
Lu2 Lu 0.489 0.250 0.749
Lu3 Lu 0.989 0.250 0.751
Lu4 Lu 0.511 0.750 0.251

# Nb4FeCoC2 PBE-GGA optimized geometry
# Final energy: -9.434 eV per atom
data_Nb4FeCoC2
_chemical_formula_sum 'Nb4 Fe1 Co1 C2'
_space_group_name_H-M_alt 'P 1'
_space_group_IT_number 1
_cell_length_a 3.113
_cell_length_b 3.113
_cell_length_c 12.978
_cell_angle_alpha 90.00
_cell_angle_beta 90.00
_cell_angle_gamma 120.00
loop_
_space_group_symop_operation_xyz
'x,y,z'
loop_
_atom_site_label
_atom_site_type_symbol
_atom_site_fract_x
_atom_site_fract_y
_atom_site_fract_z
Nb1 Nb 0.000 0.000 0.348
Nb2 Nb 0.667 0.333 0.849
Nb3 Nb 0.000 0.000 0.652
Nb4 Nb 0.667 0.333 0.151
Fe1 Fe 0.667 0.333 0.500
C1 C 0.333 0.667 0.249
C2 C 0.333 0.667 0.751
Co1 Co 0.000 0.000 0.000

# TlCu3PtS4 PBE-GGA optimized geometry
# Final energy: -4.019 eV per atom
data_TlCu3PtS4
_chemical_formula_sum 'Tl1 Cu3 Pt1 S4'
_space_group_name_H-M_alt 'P 1'
_space_group_IT_number 1
_cell_length_a 5.738
_cell_length_b 5.738
_cell_length_c 5.738
_cell_angle_alpha 90.00
_cell_angle_beta 90.00
_cell_angle_gamma 90.00
loop_
_space_group_symop_operation_xyz
'x,y,z'
loop_
_atom_site_label
_atom_site_type_symbol
_atom_site_fract_x
_atom_site_fract_y
_atom_site_fract_z
S1 S 0.236 0.764 0.236
S2 S 0.764 0.236 0.236
S3 S 0.764 0.764 0.764
S4 S 0.236 0.236 0.764
Cu1 Cu 0.000 0.000 0.500
Cu2 Cu 0.000 0.500 0.000
Cu3 Cu 0.500 0.000 0.000
Tl1 Tl 0.500 0.500 0.500
Pt1 Pt 0.000 0.000 0.000

# Hf2Cd2Pd PBE-GGA optimized geometry
# E_form: 384 meV per atom
# Final energy: -4.991 eV per atom
data_Hf2Cd2Pd
_chemical_formula_sum 'Hf2 Cd2 Pd1'
_space_group_name_H-M_alt 'P 1'
_space_group_IT_number 1
_cell_length_a 7.343
_cell_length_b 7.343
_cell_length_c 7.343
_cell_angle_alpha 148.46
_cell_angle_beta 148.46
_cell_angle_gamma 45.21
loop_
_space_group_symop_operation_xyz
'x,y,z'
loop_
_atom_site_label
_atom_site_type_symbol
_atom_site_fract_x
_atom_site_fract_y
_atom_site_fract_z
Pd1 Pd 0.000 0.000 0.000
Hf1 Hf 0.250 0.750 0.500
Hf2 Hf 0.750 0.250 0.500
Cd1 Cd 0.407 0.407 0.000
Cd2 Cd 0.593 0.593 0.000

# Tm3Mg3CdGa2 PBE-GGA optimized geometry
# Final energy: -3.194 eV per atom
data_Tm3Mg3CdGa2
_chemical_formula_sum 'Tm3 Mg3 Cd1 Ga2'
_space_group_name_H-M_alt 'P 1'
_space_group_IT_number 1
_cell_length_a 7.310
_cell_length_b 7.310
_cell_length_c 4.400
_cell_angle_alpha 90.00
_cell_angle_beta 90.00
_cell_angle_gamma 120.00
loop_
_space_group_symop_operation_xyz
'x,y,z'
loop_
_atom_site_label
_atom_site_type_symbol
_atom_site_fract_x
_atom_site_fract_y
_atom_site_fract_z
Tm1 Tm 0.432 0.432 0.000
Tm2 Tm 0.568 0.000 0.000
Tm3 Tm 0.000 0.568 0.000
Mg1 Mg 0.000 0.250 0.500
Mg2 Mg 0.750 0.750 0.500
Mg3 Mg 0.250 0.000 0.500
Ga1 Ga 0.333 0.667 0.500
Ga2 Ga 0.667 0.333 0.500
Cd1 Cd 0.000 0.000 0.000

# SmDy2In3Pd3 PBE-GGA optimized geometry
# Final energy: -4.999 eV per atom
data_SmDy2In3Pd3
_chemical_formula_sum 'Sm1 Dy2 In3 Pd3'
_space_group_name_H-M_alt 'P 1'
_space_group_IT_number 1
_cell_length_a 3.881
_cell_length_b 7.720
_cell_length_c 7.720
_cell_angle_alpha 120.13
_cell_angle_beta 90.00
_cell_angle_gamma 90.00
loop_
_space_group_symop_operation_xyz
'x,y,z'
loop_
_atom_site_label
_atom_site_type_symbol
_atom_site_fract_x
_atom_site_fract_y
_atom_site_fract_z
Sm1 Sm 0.000 0.591 0.591
Pd1 Pd 0.000 0.001 0.001
Pd2 Pd 0.500 0.668 0.330
Pd3 Pd 0.500 0.330 0.668
In1 In 0.500 0.742 0.002
In2 In 0.500 0.002 0.742
In3 In 0.500 0.257 0.257
Dy1 Dy 0.000 0.409 0.000
Dy2 Dy 0.000 0.000 0.409

# PmInPb PBE-GGA optimized geometry
# Energy above the most stable polymorph in this dataset: 0.009 eV/atom
# Final energy: -3.846 eV per atom
data_PmInPb
_chemical_formula_sum 'Pm1 In1 Pb1'
_space_group_name_H-M_alt 'P 1'
_space_group_IT_number 1
_cell_length_a 5.147
_cell_length_b 5.147
_cell_length_c 5.147
_cell_angle_alpha 60.00
_cell_angle_beta 60.00
_cell_angle_gamma 60.00
loop_
_space_group_symop_operation_xyz
'x,y,z'
loop_
_atom_site_label
_atom_site_type_symbol
_atom_site_fract_x
_atom_site_fract_y
_atom_site_fract_z
Pb1 Pb 0.250 0.250 0.250
In1 In 0.000 0.000 0.000
Pm1 Pm 0.750 0.750 0.750

# Nb2Si2SbAs PBE-GGA optimized geometry
# Final energy: -6.560 eV per atom
data_Nb2Si2SbAs
_chemical_formula_sum 'Nb2 Si2 Sb1 As1'
_space_group_name_H-M_alt 'P 1'
_space_group_IT_number 1
_cell_length_a 3.968
_cell_length_b 3.968
_cell_length_c 8.301
_cell_angle_alpha 90.00
_cell_angle_beta 90.00
_cell_angle_gamma 90.00
loop_
_space_group_symop_operation_xyz
'x,y,z'
loop_
_atom_site_label
_atom_site_type_symbol
_atom_site_fract_x
_atom_site_fract_y
_atom_site_fract_z
Si1 Si 0.500 0.500 0.749
Si2 Si 0.000 0.000 0.232
Nb1 Nb 0.500 0.000 0.995
Nb2 Nb 0.000 0.500 0.995
Sb1 Sb 0.500 0.500 0.285
As1 As 0.000 0.000 0.743

# Mg2NiSn PBE-GGA optimized geometry
# Final energy: -3.233 eV per atom
data_Mg2NiSn
_chemical_formula_sum 'Mg2 Ni1 Sn1'
_space_group_name_H-M_alt 'P 1'
_space_group_IT_number 1
_cell_length_a 4.644
_cell_length_b 4.644
_cell_length_c 4.644
_cell_angle_alpha 60.00
_cell_angle_beta 60.00
_cell_angle_gamma 60.00
loop_
_space_group_symop_operation_xyz
'x,y,z'
loop_
_atom_site_label
_atom_site_type_symbol
_atom_site_fract_x
_atom_site_fract_y
_atom_site_fract_z
Mg1 Mg 0.000 0.000 0.000
Mg2 Mg 0.750 0.750 0.750
Sn1 Sn 0.500 0.500 0.500
Ni1 Ni 0.250 0.250 0.250

# Mg4Re3 PBE-GGA optimized geometry
# Energy above the most stable polymorph in this dataset: 0.000 eV/atom
# Final energy: -5.992 eV per atom
data_Mg4Re3
_chemical_formula_sum 'Mg8 Re6'
_space_group_name_H-M_alt 'P 1'
_space_group_IT_number 1
_cell_length_a 7.777
_cell_length_b 8.363
_cell_length_c 4.429
_cell_angle_alpha 90.00
_cell_angle_beta 90.00
_cell_angle_gamma 57.46
loop_
_space_group_symop_operation_xyz
'x,y,z'
loop_
_atom_site_label
_atom_site_type_symbol
_atom_site_fract_x
_atom_site_fract_y
_atom_site_fract_z
Mg1 Mg 0.906 0.341 0.500
Mg2 Mg 0.523 0.310 0.500
Mg3 Mg 0.116 0.513 0.500
Mg4 Mg 0.905 0.897 0.500
Mg5 Mg 0.618 0.484 0.000
Mg6 Mg 0.001 0.071 0.000
Mg7 Mg 0.408 0.868 0.000
Mg8 Mg 0.618 0.040 0.000
Re1 Re 0.875 0.634 0.000
Re2 Re 0.649 0.747 0.500
Re3 Re 0.336 0.710 0.500
Re4 Re 0.188 0.671 0.000
Re5 Re 0.336 0.096 0.500
Re6 Re 0.187 0.285 0.000